## a
! NbCoPt, optimized geometry, DFT PBE-GGA; values from VASP
! - DOS at the Fermi energy (states/eV/cell) = 3.43
! - symmetry = No. 139
! - crystal system = tetragonal
&SYSTEM
  ibrav = 0, nat = 6, ntyp = 3
/
ATOMIC_SPECIES
Pt 195.08 Pt.upf
Nb 92.91 Nb.upf
Co 58.93 Co.upf
ATOMIC_POSITIONS angstrom
Pt 1.247 -0.029 0.345
Pt 8.255 -1.737 0.588
Nb 3.116 -1.617 -0.833
Nb 6.386 -0.149 1.766
Co 5.575 -1.674 -0.153
Co 3.928 -0.092 1.086
CELL_PARAMETERS angstrom
-0.048 -3.187 -0.096
0.851 0.080 -3.072
8.699 1.342 4.101

---

## b
! NbCoPt, optimized geometry, DFT PBE-GGA; values from VASP
! - DOS at the Fermi energy (states/eV/cell) = 4.25
! - symmetry = No. 187
! - crystal system = hexagonal
&SYSTEM
  ibrav = 0, nat = 3, ntyp = 3
/
ATOMIC_SPECIES
Nb 92.91 Nb.upf
Co 58.93 Co.upf
Pt 195.08 Pt.upf
ATOMIC_POSITIONS angstrom
Nb 1.824 2.179 1.258
Co 0.455 0.000 2.516
Pt 0.456 0.000 0.000
CELL_PARAMETERS angstrom
2.735 0.000 0.000
0.000 4.357 0.000
0.000 -2.179 3.773

---

Which structure is most stable? b, by 0.019 eV/atom over the runner-up.

---

## a
! NbCoPt, optimized geometry, DFT PBE-GGA; values from VASP
! - DOS at the Fermi energy (states/eV/cell) = 4.76
! - symmetry = No. 59
! - crystal system = orthorhombic
&SYSTEM
  ibrav = 0, nat = 6, ntyp = 3
/
ATOMIC_SPECIES
Nb 92.91 Nb.upf
Co 58.93 Co.upf
Pt 195.08 Pt.upf
ATOMIC_POSITIONS angstrom
Nb 3.307 -1.227 -0.624
Nb 4.420 -1.035 4.333
Co 5.672 -3.120 7.160
Co 6.652 -2.553 4.838
Pt 4.932 -3.177 2.673
Pt 2.554 -1.711 1.984
CELL_PARAMETERS angstrom
-0.242 -2.626 0.948
2.998 -1.030 -2.086
4.839 -0.785 7.341

---

## b
! NbCoPt, optimized geometry, DFT PBE-GGA; values from VASP
! - DOS at the Fermi energy (states/eV/cell) = 5.89
! - symmetry = No. 63
! - crystal system = orthorhombic
&SYSTEM
  ibrav = 0, nat = 6, ntyp = 3
/
ATOMIC_SPECIES
Nb 92.91 Nb.upf
Co 58.93 Co.upf
Pt 195.08 Pt.upf
ATOMIC_POSITIONS angstrom
Nb -0.261 -2.852 1.129
Nb 2.458 -3.187 -2.403
Co 2.141 -1.291 0.001
Co 0.000 0.000 0.000
Pt 2.034 -3.889 0.192
Pt 0.164 -2.150 -1.466
CELL_PARAMETERS angstrom
-1.721 -2.851 3.507
-0.363 -0.607 -4.784
4.282 -2.582 0.002

---

## c
! NbCoPt, optimized geometry, DFT PBE-GGA; values from VASP
! - DOS at the Fermi energy (states/eV/cell) = 3.38
! - symmetry = No. 107
! - crystal system = tetragonal
&SYSTEM
  ibrav = 0, nat = 3, ntyp = 3
/
ATOMIC_SPECIES
Nb 92.91 Nb.upf
Co 58.93 Co.upf
Pt 195.08 Pt.upf
ATOMIC_POSITIONS angstrom
Nb 0.000 0.000 2.464
Co 1.636 1.636 3.709
Pt 1.636 1.636 0.987
CELL_PARAMETERS angstrom
3.271 0.000 0.000
0.000 3.271 0.000
-1.636 -1.636 4.211

---

Which structure is most stable? a, by 0.020 eV/atom over the runner-up.

---

## a
! Nb3CoPt, optimized geometry, DFT PBE-GGA; values from VASP
! - DOS at the Fermi energy (states/eV/cell) = 9.88
! - symmetry = No. 221
! - crystal system = cubic
&SYSTEM
  ibrav = 0, nat = 5, ntyp = 3
/
ATOMIC_SPECIES
Nb 92.91 Nb.upf
Co 58.93 Co.upf
Pt 195.08 Pt.upf
ATOMIC_POSITIONS angstrom
Nb 0.350 -2.197 0.966
Nb 0.318 1.011 2.182
Nb -2.379 -0.188 0.434
Co -1.711 -1.375 3.583
Pt 0.000 0.000 0.000
CELL_PARAMETERS angstrom
-4.758 -0.377 0.868
0.700 -4.394 1.933
0.636 2.021 4.364

---

## b
! Nb3CoPt, optimized geometry, DFT PBE-GGA; values from VASP
! - DOS at the Fermi energy (states/eV/cell) = 4.66
! - symmetry = No. 221
! - crystal system = cubic
&SYSTEM
  ibrav = 0, nat = 5, ntyp = 3
/
ATOMIC_SPECIES
Nb 92.91 Nb.upf
Co 58.93 Co.upf
Pt 195.08 Pt.upf
ATOMIC_POSITIONS angstrom
Nb 0.912 -1.660 -1.246
Nb -1.989 -1.088 -0.005
Nb -0.594 1.095 -1.894
Co 0.000 0.000 0.000
Pt -1.671 -1.653 -3.145
CELL_PARAMETERS angstrom
-1.189 2.191 -3.788
1.823 -3.320 -2.492
-3.977 -2.176 -0.011

---

Which structure is most stable? b, by 0.978 eV/atom over the runner-up.

---

## a
! PuNbCo, optimized geometry, DFT PBE-GGA; values from VASP
! - DOS at the Fermi energy (states/eV/cell) = 16.17
! - symmetry = No. 69
! - crystal system = orthorhombic
&SYSTEM
  ibrav = 0, nat = 6, ntyp = 3
/
ATOMIC_SPECIES
Pu 244.00 Pu.upf
Nb 92.91 Nb.upf
Co 58.93 Co.upf
ATOMIC_POSITIONS angstrom
Pu 0.375 -1.705 2.336
Pu 2.668 -0.480 1.076
Nb 1.217 1.390 3.567
Nb -0.145 1.181 0.885
Co -1.239 0.337 3.201
Co 2.310 2.234 1.252
CELL_PARAMETERS angstrom
-2.028 -2.989 3.655
5.070 0.804 -0.243
-1.970 4.756 1.040

---

## b
! PuNbCo, optimized geometry, DFT PBE-GGA; values from VASP
! - DOS at the Fermi energy (states/eV/cell) = 5.77
! - symmetry = No. 156
! - crystal system = trigonal
&SYSTEM
  ibrav = 0, nat = 3, ntyp = 3
/
ATOMIC_SPECIES
Nb 92.91 Nb.upf
Co 58.93 Co.upf
Pu 244.00 Pu.upf
ATOMIC_POSITIONS angstrom
Nb 0.098 0.000 0.000
Co 1.823 0.000 2.595
Pu 0.979 2.247 1.297
CELL_PARAMETERS angstrom
2.901 0.000 0.000
0.000 4.494 0.000
0.000 -2.247 3.892

---

Which structure is most stable? a, by 0.259 eV/atom over the runner-up.

---

## a
! PuNbCo2, optimized geometry, DFT PBE-GGA; values from VASP
! - DOS at the Fermi energy (states/eV/cell) = 9.78
! - symmetry = No. 225
! - crystal system = cubic
&SYSTEM
  ibrav = 0, nat = 4, ntyp = 3
/
ATOMIC_SPECIES
Nb 92.91 Nb.upf
Co 58.93 Co.upf
Pu 244.00 Pu.upf
ATOMIC_POSITIONS angstrom
Nb 4.483 2.588 1.832
Co 6.725 3.883 2.747
Co 2.242 1.294 0.917
Pu 0.000 0.000 0.000
CELL_PARAMETERS angstrom
4.483 0.000 0.000
2.242 3.883 0.000
2.242 1.294 3.664

---

## b
! PuNbCo2, optimized geometry, DFT PBE-GGA; values from VASP
! - DOS at the Fermi energy (states/eV/cell) = 10.16
! - symmetry = No. 123
! - crystal system = tetragonal
&SYSTEM
  ibrav = 0, nat = 4, ntyp = 3
/
ATOMIC_SPECIES
Nb 92.91 Nb.upf
Co 58.93 Co.upf
Pu 244.00 Pu.upf
ATOMIC_POSITIONS angstrom
Nb 1.537 1.537 0.000
Co 0.000 0.000 5.539
Co 0.000 0.000 1.371
Pu 1.537 1.537 3.455
CELL_PARAMETERS angstrom
3.075 0.000 0.000
0.000 3.075 0.000
0.000 0.000 6.910

---

Which structure is most stable? b, by 0.142 eV/atom over the runner-up.

---

## a
! RbNb2Co, optimized geometry, DFT PBE-GGA; values from VASP
! - DOS at the Fermi energy (states/eV/cell) = 13.71
! - symmetry = No. 141
! - crystal system = tetragonal
&SYSTEM
  ibrav = 0, nat = 8, ntyp = 3
/
ATOMIC_SPECIES
Nb 92.91 Nb.upf
Co 58.93 Co.upf
Rb 85.47 Rb.upf
ATOMIC_POSITIONS angstrom
Nb -3.164 1.628 0.596
Nb -4.703 0.223 2.272
Nb -7.012 3.140 4.732
Nb -9.178 3.835 3.327
Co -3.705 -0.711 0.273
Co -5.699 1.157 4.273
Rb 0.000 0.000 0.000
Rb -6.329 3.256 1.191
CELL_PARAMETERS angstrom
-4.334 1.389 -2.809
-3.075 -2.810 3.355
-4.619 5.835 4.918

---

## b
! RbNb2Co, optimized geometry, DFT PBE-GGA; values from VASP
! - DOS at the Fermi energy (states/eV/cell) = 3.21
! - symmetry = No. 225
! - crystal system = cubic
&SYSTEM
  ibrav = 0, nat = 4, ntyp = 3
/
ATOMIC_SPECIES
Nb 92.91 Nb.upf
Co 58.93 Co.upf
Rb 85.47 Rb.upf
ATOMIC_POSITIONS angstrom
Nb 1.650 1.650 1.650
Nb 4.951 4.951 4.951
Co 0.000 0.000 0.000
Rb 3.301 3.301 3.301
CELL_PARAMETERS angstrom
0.000 3.301 3.301
3.301 0.000 3.301
3.301 3.301 0.000

---

Which structure is most stable? b, by 0.013 eV/atom over the runner-up.

---

## a
! NbCoRe, optimized geometry, DFT PBE-GGA; values from VASP
! - DOS at the Fermi energy (states/eV/cell) = 4.11
! - symmetry = No. 107
! - crystal system = tetragonal
&SYSTEM
  ibrav = 0, nat = 3, ntyp = 3
/
ATOMIC_SPECIES
Re 186.21 Re.upf
Nb 92.91 Nb.upf
Co 58.93 Co.upf
ATOMIC_POSITIONS angstrom
Re 0.000 0.000 2.476
Nb 1.595 1.595 3.975
Co 1.595 1.595 1.053
CELL_PARAMETERS angstrom
3.190 0.000 0.000
0.000 3.190 0.000
-1.595 -1.595 4.414

---

## b
! NbCoRe, optimized geometry, DFT PBE-GGA; values from VASP
! - DOS at the Fermi energy (states/eV/cell) = 11.51
! - symmetry = No. 64
! - crystal system = orthorhombic
&SYSTEM
  ibrav = 0, nat = 12, ntyp = 3
/
ATOMIC_SPECIES
Co 58.93 Co.upf
Re 186.21 Re.upf
Nb 92.91 Nb.upf
ATOMIC_POSITIONS angstrom
Co -4.395 -1.667 -0.919
Co -1.929 0.013 -4.343
Co -1.713 -3.513 -3.175
Co -4.179 -5.193 0.249
Re -2.056 -0.734 -0.647
Re -2.098 -5.987 -2.796
Re -4.052 -4.446 -3.447
Re -4.010 0.807 -1.298
Nb -3.601 -1.655 -3.274
Nb -5.979 -3.717 -1.019
Nb -2.507 -3.525 -0.820
Nb -0.129 -1.462 -3.074
CELL_PARAMETERS angstrom
-3.907 3.082 -1.302
2.315 -3.104 -4.135
-4.516 -5.158 1.343

---

Which structure is most stable? b, by 0.047 eV/atom over the runner-up.

---

## a
! NbCoRe3, optimized geometry, DFT PBE-GGA; values from VASP
! - DOS at the Fermi energy (states/eV/cell) = 9.84
! - symmetry = No. 221
! - crystal system = cubic
&SYSTEM
  ibrav = 0, nat = 5, ntyp = 3
/
ATOMIC_SPECIES
Re 186.21 Re.upf
Nb 92.91 Nb.upf
Co 58.93 Co.upf
ATOMIC_POSITIONS angstrom
Re 0.000 2.200 0.000
Re 0.000 0.000 2.200
Re 2.200 0.000 0.000
Nb 2.200 2.200 2.200
Co 0.000 0.000 0.000
CELL_PARAMETERS angstrom
4.401 0.000 0.000
0.000 4.401 0.000
0.000 0.000 4.401

---

## b
! NbCoRe3, optimized geometry, DFT PBE-GGA; values from VASP
! - DOS at the Fermi energy (states/eV/cell) = 8.24
! - symmetry = No. 221
! - crystal system = cubic
&SYSTEM
  ibrav = 0, nat = 5, ntyp = 3
/
ATOMIC_SPECIES
Re 186.21 Re.upf
Nb 92.91 Nb.upf
Co 58.93 Co.upf
ATOMIC_POSITIONS angstrom
Re 1.882 -1.281 0.554
Re 0.727 1.694 1.446
Re -1.192 -0.990 1.758
Nb 0.000 0.000 0.000
Co 1.417 -0.577 3.759
CELL_PARAMETERS angstrom
-2.383 -1.979 3.516
3.764 -2.562 1.109
1.454 3.388 2.893

---

Which structure is most stable? a, by 1.386 eV/atom over the runner-up.